First-principles (PBE-GGA) data for a relaxed structure of ZrTi2AuS, as listed in the Alexandria database.

Geometry as POSCAR:
```
ZrTi2AuS
1.0
4.949 0.000 0.000
0.000 4.949 0.000
0.000 0.000 4.740
Zr Ti Au S
1 2 1 1
direct
0.000 0.000 0.000
0.000 0.500 0.000
0.500 0.000 0.000
0.500 0.500 0.500
0.000 0.000 0.500
```

Properties
For the density, the calculation gives 5.95 g cm⁻³. For the electronic total energy, the calculation gives -27.96 eV per formula unit. Its crystal system is tetragonal.